Entry 1:
PmY4Er5: relaxed, PBE.

Cell and atoms, written as POSCAR:
```
PmY4Er5
1.0
-4.920 -1.619 3.636
0.086 -7.501 2.283
1.265 1.015 7.672
Pm Y Er
1 4 5
direct
0.223 0.000 0.000
0.405 0.392 0.703
0.797 0.703 0.608
0.108 0.297 0.392
0.500 0.608 0.297
0.806 0.373 0.913
0.180 0.913 0.627
0.719 0.087 0.373
0.093 0.627 0.087
0.678 0.000 0.000
```

Summary:
- DFT total energy (eV per atom) = -5.043
- size of the total moment (μB/cell) = 0.00
- formation energy (kJ/mol of atoms) = 28.9
- N(E_F) (states/eV/atom) = 1.44

Entry 2:
Er2Zr3Co4: relaxed, PBE.

Cell and atoms, written as POSCAR:
```
Er2Zr3Co4
1.0
7.228 0.124 0.000
-2.250 6.573 0.000
0.000 0.000 6.939
Er Zr Co
4 6 8
direct
0.589 0.197 0.326
0.911 0.803 0.826
0.411 0.803 0.674
0.089 0.197 0.174
0.000 0.500 0.500
0.500 0.500 0.000
0.750 0.243 0.829
0.750 0.757 0.329
0.250 0.757 0.171
0.250 0.243 0.671
0.881 0.090 0.540
0.619 0.910 0.040
0.119 0.910 0.460
0.381 0.090 0.960
0.886 0.506 0.126
0.614 0.494 0.626
0.114 0.494 0.874
0.386 0.506 0.374
```

Summary:
- DFT total energy (eV per atom) = -7.289
- size of the total moment (μB/cell) = 0.00
- formation energy (kJ/mol of atoms) = -25.8
- N(E_F) (states/eV/atom) = 0.74

Entry 3:
Dy3ErBi3: relaxed, PBE.

Cell and atoms, written as POSCAR:
```
Dy3ErBi3
1.0
-4.722 2.326 -7.747
5.484 -5.673 -5.046
-5.945 -7.080 1.498
Dy Er Bi
12 4 12
direct
0.824 0.324 0.176
0.928 0.928 0.928
0.823 0.677 0.323
0.176 0.824 0.324
0.177 0.177 0.177
0.323 0.823 0.677
0.072 0.428 0.572
0.324 0.176 0.824
0.677 0.323 0.823
0.676 0.676 0.676
0.572 0.072 0.428
0.428 0.572 0.072
0.074 0.574 0.926
0.926 0.074 0.574
0.426 0.426 0.426
0.574 0.926 0.074
0.752 0.626 0.999
0.874 0.001 0.252
0.999 0.752 0.626
0.126 0.501 0.248
0.248 0.126 0.501
0.252 0.874 0.001
0.001 0.252 0.874
0.374 0.499 0.748
0.501 0.248 0.126
0.626 0.999 0.752
0.748 0.374 0.499
0.499 0.748 0.374
```

Summary:
- DFT total energy (eV per atom) = -5.000
- size of the total moment (μB/cell) = 0.00
- formation energy (kJ/mol of atoms) = -68.8
- N(E_F) (states/eV/atom) = 1.12

Entry 4:
Ce2Zn2Ni15: relaxed, PBE.

Cell and atoms, written as POSCAR:
```
Ce2Zn2Ni15
1.0
6.316 0.004 0.004
0.823 6.262 0.004
0.823 0.723 6.220
Ce Zn Ni
2 2 15
direct
0.347 0.347 0.347
0.653 0.653 0.653
0.098 0.098 0.098
0.902 0.902 0.902
0.500 0.000 0.000
0.000 0.000 0.500
0.000 0.500 0.000
0.000 0.699 0.301
0.699 0.301 0.000
0.301 0.000 0.699
0.301 0.699 0.000
0.699 0.000 0.301
0.000 0.301 0.699
0.155 0.655 0.655
0.655 0.655 0.155
0.655 0.155 0.655
0.845 0.345 0.345
0.345 0.345 0.845
0.345 0.845 0.345
```

Summary:
- DFT total energy (eV per atom) = -5.561
- size of the total moment (μB/cell) = 2.29
- formation energy (kJ/mol of atoms) = -23.0
- N(E_F) (states/eV/atom) = 1.29

Entry 5:
As5C: relaxed, PBE.

Cell and atoms, written as POSCAR:
```
As5C
1.0
3.188 3.389 3.979
-4.832 2.407 -2.888
-1.968 -1.018 2.444
As C
5 1
direct
0.725 0.000 0.000
0.275 0.275 0.000
0.000 0.725 0.000
0.667 0.333 0.500
0.333 0.667 0.500
0.000 0.000 0.500
```

Summary:
- DFT total energy (eV per atom) = -4.557
- size of the total moment (μB/cell) = 0.00
- formation energy (kJ/mol of atoms) = 82.5
- N(E_F) (states/eV/atom) = 0.39

Entry 6:
CaLa5Nd4: relaxed, PBE.

Cell and atoms, written as POSCAR:
```
CaLa5Nd4
1.0
-3.025 -1.880 1.107
1.571 -3.190 -1.124
10.762 -3.168 24.037
Ca La Nd
1 5 4
direct
0.000 0.000 0.000
0.500 0.500 0.109
0.500 0.500 0.303
0.500 0.500 0.500
0.500 0.500 0.697
0.500 0.500 0.891
0.000 0.000 0.204
0.000 0.000 0.402
0.000 0.000 0.598
0.000 0.000 0.796
```

Summary:
- DFT total energy (eV per atom) = -4.548
- size of the total moment (μB/cell) = 0.00
- formation energy (kJ/mol of atoms) = 2.2
- N(E_F) (states/eV/atom) = 1.62

Entry 7:
TmAl2ZnCu4: relaxed, PBE.

Cell and atoms, written as POSCAR:
```
TmAl2ZnCu4
1.0
4.171 0.000 0.000
2.085 3.612 0.000
2.085 1.204 8.152
Tm Al Zn Cu
1 2 1 4
direct
0.000 0.000 0.000
0.757 0.757 0.730
0.243 0.243 0.270
0.500 0.500 0.500
0.400 0.400 0.801
0.870 0.870 0.390
0.130 0.130 0.610
0.600 0.600 0.199
```

Summary:
- DFT total energy (eV per atom) = -3.939
- size of the total moment (μB/cell) = 0.00
- formation energy (kJ/mol of atoms) = -22.9
- N(E_F) (states/eV/atom) = 0.55

Entry 8:
TbEr2Tm8: relaxed, PBE.

Cell and atoms, written as POSCAR:
```
TbEr2Tm8
1.0
5.349 0.000 0.000
0.000 8.214 -0.183
-2.675 -3.648 7.741
Tb Er Tm
1 2 8
direct
0.500 0.000 0.000
0.798 0.341 0.596
0.202 0.659 0.404
0.382 0.558 0.763
0.666 0.893 0.331
0.841 0.803 0.682
0.982 0.278 0.964
0.159 0.197 0.318
0.334 0.107 0.669
0.618 0.442 0.237
0.018 0.722 0.036
```

Summary:
- DFT total energy (eV per atom) = -4.397
- size of the total moment (μB/cell) = 0.00
- formation energy (kJ/mol of atoms) = 10.2
- N(E_F) (states/eV/atom) = 1.69

Entry 9:
UMn2Be: relaxed, PBE.

Cell and atoms, written as POSCAR:
```
UMn2Be
1.0
3.644 0.000 0.000
1.822 3.156 0.000
1.822 1.052 4.672
Be Mn U
1 2 1
direct
0.000 0.000 0.000
0.720 0.720 0.839
0.280 0.280 0.161
0.500 0.500 0.500
```

Summary:
- DFT total energy (eV per atom) = -8.114
- size of the total moment (μB/cell) = 1.70
- formation energy (kJ/mol of atoms) = 21.6
- N(E_F) (states/eV/atom) = 1.22